1.
Entry from Alexandria: a geometry-optimized Y3Th2Sc8 structure (GGA-PBE).

Cell lengths 12.055, 12.055, 12.055 Å; angles 29.57, 29.57, 29.57 degrees
Fractional coordinates of all 13 atoms:
1 Y 0.000 0.000 0.000
2 Y 0.185 0.185 0.185
3 Y 0.815 0.815 0.815
4 Th 0.363 0.363 0.363
5 Th 0.637 0.637 0.637
6 Sc 0.226 0.731 0.731
7 Sc 0.269 0.269 0.774
8 Sc 0.269 0.774 0.269
9 Sc 0.274 0.274 0.274
10 Sc 0.726 0.726 0.726
11 Sc 0.731 0.226 0.731
12 Sc 0.731 0.731 0.226
13 Sc 0.774 0.269 0.269

SG: R-3m
formation enthalpy at 0 K: 0.28 eV/atom


2.
Entry from Alexandria: a geometry-optimized Rb2I6BrF structure (GGA-PBE).

Cell lengths 8.362, 8.362, 8.362 Å; angles 118.38, 118.38, 92.83 degrees
Fractional coordinates of all 10 atoms:
1 Rb 0.250 0.750 0.500
2 Rb 0.750 0.250 0.500
3 I 0.203 0.203 0.000
4 I 0.266 0.266 0.531
5 I 0.266 0.734 0.000
6 I 0.734 0.266 0.000
7 I 0.734 0.734 0.469
8 I 0.797 0.797 0.000
9 Br 0.500 0.500 0.000
10 F 0.000 0.000 0.000

SG: I4/mmm
ΔE_f (raw): -56 kJ per mole of atoms


3.
Entry from Alexandria: a geometry-optimized SrOsSe2 structure (GGA-PBE).

Cell lengths 8.715, 8.715, 8.715 Å; angles 25.94, 25.94, 25.94 degrees
Fractional coordinates of all 4 atoms:
1 Sr 0.000 0.000 0.000
2 Os 0.500 0.500 0.500
3 Se 0.120 0.120 0.120
4 Se 0.880 0.880 0.880

SG: R-3m
ΔE_f (raw): -9 kJ per mole of atoms